No. 1
La2Al at its PBEsol-relaxed geometry, computed with meta-GGA SCAN.

a = 4.4062 Å, b = 16.2535 Å, c = 5.0913 Å
α = 90.00°, β = 90.00°, γ = 90.00°
With the nearest neighbours (Å) after each atom.
Space group Cmcm (No. 63)
Asymmetric unit:
La 0.0000 0.0714 0.2500 (multiplicity 4)  6 Al 3.38, 4 La 3.45-3.61
La 0.0000 0.2291 0.7500 (multiplicity 4)  2 Al 3.20, 4 La 3.43
Al 0.0000 0.4136 0.2500 (multiplicity 4)  8 La 3.20-3.38

## Properties
- Magnetic moment: 0.0 μB per formula unit
- Energy: -31.590 eV per atom
- Formation energy from the elements: -269 meV per atom

---

No. 2
YAgAs2 at its PBEsol-relaxed geometry, computed with meta-GGA SCAN.

a = 4.5105 Å, b = 4.5105 Å, c = 3.8097 Å
α = 90.00°, β = 90.00°, γ = 90.00°
With the nearest neighbours (Å) after each atom.
Space group P4/mmm (No. 123)
Asymmetric unit:
Y 0.0000 0.0000 0.0000 (multiplicity 1)  8 As 2.95, 4 Ag 3.19
Ag 0.5000 0.5000 0.0000 (multiplicity 1)  8 As 2.95, 4 Y 3.19
As 0.0000 0.5000 0.5000 (multiplicity 2)  4 Y 2.95, 4 Ag 2.95, 4 As 3.19

## Properties
- Magnetic moment: 0.0 μB per formula unit
- Energy: -25.538 eV per atom
- Formation energy from the elements: -641 meV per atom

---

No. 3
CaIn2Cl at its PBEsol-relaxed geometry, computed with meta-GGA SCAN.

a = 3.8914 Å, b = 5.6850 Å, c = 9.4620 Å
α = 90.00°, β = 90.00°, γ = 90.00°
With the nearest neighbours (Å) after each atom.
Space group Cmmm (No. 65)
Asymmetric unit:
Ca 0.0000 0.0000 0.0000 (multiplicity 2)  4 In 3.20, 4 Ca 3.44
In 0.0000 0.5000 0.2691 (multiplicity 4)  2 Cl 2.93, 2 Ca 3.20
Cl 0.0000 0.0000 0.5000 (multiplicity 2)  4 In 2.93

## Properties
- Magnetic moment: 0.0 μB per formula unit
- Raw formation energy: -401 meV/atom
- Energy: -21.505 eV per atom

---

No. 4
RhPb2F7 at its PBEsol-relaxed geometry, computed with meta-GGA SCAN.

a = 5.5563 Å, b = 11.8295 Å, c = 8.7416 Å
α = 90.00°, β = 90.57°, γ = 90.00°
With the nearest neighbours (Å) after each atom.
Space group P2_1/c (No. 14)
Asymmetric unit:
Rh 0.1949 0.1319 0.3174 (multiplicity 4)  6 F 1.96-2.00
Pb 0.2671 0.0552 0.8481 (multiplicity 4)  6 F 2.38-2.60
Pb 0.2826 0.7060 0.9520 (multiplicity 4)  4 F 2.35-2.59
F 0.0105 0.7305 0.6864 (multiplicity 4)  1 Rh 1.99
F 0.0841 0.0987 0.1055 (multiplicity 4)  1 Rh 1.99
F 0.1010 0.5520 0.1277 (multiplicity 4)  1 Rh 1.96
F 0.2865 0.1651 0.5315 (multiplicity 4)  1 Rh 1.97
F 0.3838 0.5102 0.8189 (multiplicity 4)  1 Rh 1.98
F 0.3926 0.6045 0.4934 (multiplicity 4)  3 Pb 2.35-2.40
F 0.4929 0.2226 0.2801 (multiplicity 4)  1 Rh 2.00

## Properties
- Magnetic moment: 0.0 μB per formula unit
- Raw formation energy: -2221 meV/atom
- Energy: -23.232 eV per atom

---

No. 5
Y5Bi3 at its PBEsol-relaxed geometry, computed with meta-GGA SCAN.

a = 8.1412 Å, b = 9.4034 Å, c = 11.8906 Å
α = 90.00°, β = 90.00°, γ = 90.00°
With the nearest neighbours (Å) after each atom.
Space group Pnma (No. 62)
Asymmetric unit:
Y 0.0257 0.2500 0.0115 (multiplicity 4)  5 Bi 3.16-3.21, 3 Y 3.33-3.44
Y 0.1467 0.7500 0.2862 (multiplicity 4)  5 Bi 3.09-3.32
Y 0.1861 0.2500 0.2794 (multiplicity 4)  6 Bi 3.08-3.39, 1 Y 3.44
Y 0.1945 0.0613 0.5588 (multiplicity 8)  4 Bi 3.06-3.38, 1 Y 3.33
Bi 0.0661 0.0044 0.8257 (multiplicity 8)  9 Y 3.17-3.44
Bi 0.0893 0.7500 0.5427 (multiplicity 4)  8 Y 3.06-3.36

## Properties
- Magnetic moment: 0.0 μB per formula unit
- Energy: -47.733 eV per atom
- Formation energy from the elements: -864 meV per atom

---

No. 6
PPt2Cl at its PBEsol-relaxed geometry, computed with meta-GGA SCAN.

a = 6.1779 Å, b = 6.1779 Å, c = 7.7970 Å
α = 90.00°, β = 90.00°, γ = 90.00°
With the nearest neighbours (Å) after each atom.
Space group I-42d (No. 122)
Asymmetric unit:
P 0.0000 0.0000 0.0000 (multiplicity 4)  4 Pt 2.21
Pt 0.2028 0.7500 0.1250 (multiplicity 8)  2 P 2.21
Cl 0.0000 0.0000 0.5000 (multiplicity 4)  4 Pt 2.59

## Properties
- Magnetic moment: 0.0 μB per formula unit
- Raw formation energy: -228 meV/atom
- ΔE to the lowest computed polymorph: 0.0000 eV/atom
- Energy: -39.919 eV per atom